# ZrAlMoP2

An optimized crystal structure of ZrAlMoP2 (PBE-GGA, Alexandria via LeMat-Bulk).

Cell lengths 4.9506, 5.1310, 4.9506 Å; angles 90.00, 90.00, 90.00 degrees
Element x y z (fractional)
Zr  0.0000  0.0000  0.0000
Al  0.0000  0.5000  0.0000
P  0.0000  0.0000  0.5000
P  0.5000  0.0000  0.0000
Mo  0.5000  0.5000  0.5000

Results
For the final energy, the calculation gives -5.690 eV per atom. As for the symmetry: P4/mmm, No. 123.

***

# K2SrAuO

An optimized crystal structure of K2SrAuO (PBE-GGA, Alexandria via LeMat-Bulk).

Cell lengths 7.0812, 4.4446, 7.0812 Å; angles 90.00, 90.00, 90.00 degrees
Element x y z (fractional)
K  0.0000  0.0000  0.5000
K  0.5000  0.0000  0.0000
Sr  0.0000  0.0000  0.0000
Au  0.5000  0.5000  0.5000
O  0.0000  0.5000  0.0000

Results
As for the symmetry: P4/mmm, No. 123. For the energy relative to the elements, uncorrected, the calculation gives -0.414 eV per atom. Its distance to the lowest polymorph of the same formula is 2.86 eV per formula unit.

***

# K2LiMn

An optimized crystal structure of K2LiMn (PBE-GGA, Alexandria via LeMat-Bulk).

Cell lengths 6.3854, 6.3854, 6.8855 Å; angles 84.05, 84.05, 32.98 degrees
Element x y z (fractional)
Li  0.7500  0.7500  0.7500
K  0.9963  0.9963  0.0074
K  0.5037  0.5037  0.4926
Mn  0.2500  0.2500  0.2500

Results
As for the symmetry: C2/m, No. 12. Its distance to the lowest polymorph of the same formula is 0.78 eV per formula unit.

***

# KAcTlO4

An optimized crystal structure of KAcTlO4 (PBE-GGA, Alexandria via LeMat-Bulk).

Cell lengths 6.6072, 7.3197, 7.3197 Å; angles 65.47, 63.17, 63.17 degrees
Element x y z (fractional)
Ac  0.0000  0.0000  0.0000
O  0.2390  0.7436  0.2436
O  0.7579  0.7179  0.7662
O  0.7579  0.2662  0.2179
Tl  0.6339  0.6161  0.1161
O  0.2263  0.2564  0.7564
K  0.5000  0.0000  0.5000
Tl  0.3661  0.3839  0.8839
O  0.2421  0.7338  0.7821
K  0.0000  0.0000  0.5000
O  0.2421  0.2821  0.2338
O  0.7610  0.2564  0.7564
Ac  0.0000  0.5000  0.5000
O  0.7737  0.7436  0.2436

Results
As for the symmetry: Imma, No. 74. For the energy relative to the elements, uncorrected, the calculation gives -1.537 eV per atom.

***

# CoIrSe2

An optimized crystal structure of CoIrSe2 (PBE-GGA, Alexandria via LeMat-Bulk).

Cell lengths 2.9704, 5.4532, 4.1010 Å; angles 90.00, 90.00, 90.00 degrees
Element x y z (fractional)
Ir  0.0000  0.5000  0.5000
Co  0.5000  0.0000  0.5000
Se  0.5000  0.5000  0.0000
Se  0.0000  0.0000  0.0000

Results
As for the symmetry: Pmmm, No. 47. For the energy relative to the elements, uncorrected, the calculation gives 0.656 eV per atom. Its distance to the lowest polymorph of the same formula is 3.00 eV per formula unit.

***

# Nd2AgBO5

An optimized crystal structure of Nd2AgBO5 (PBE-GGA, Alexandria via LeMat-Bulk).

Cell lengths 5.1679, 6.7458, 6.7458 Å; angles 90.00, 90.00, 90.00 degrees
Element x y z (fractional)
B  0.0000  0.0000  0.5000
O  0.2193  0.6170  0.8830
Ag  0.0000  0.5000  0.5000
O  0.7807  0.8830  0.3830
Nd  0.5000  0.8202  0.6798
O  0.7807  0.6170  0.8830
O  0.2193  0.3830  0.1170
Nd  0.5000  0.3202  0.8202
O  0.5000  0.5000  0.5000
Nd  0.5000  0.6798  0.1798
Nd  0.5000  0.1798  0.3202
O  0.2193  0.1170  0.6170
Ag  0.0000  0.0000  0.0000
O  0.5000  0.0000  0.0000
O  0.2193  0.8830  0.3830
O  0.7807  0.3830  0.1170
B  0.0000  0.5000  0.0000
O  0.7807  0.1170  0.6170

Results
As for the symmetry: P4/mbm, No. 127. For the energy relative to the elements, uncorrected, the calculation gives -2.135 eV per atom.

***

# SrNd2Ho

An optimized crystal structure of SrNd2Ho (PBE-GGA, Alexandria via LeMat-Bulk).

Cell lengths 5.2631, 5.2973, 5.2973 Å; angles 90.00, 90.00, 90.00 degrees
Element x y z (fractional)
Sr  0.5000  0.0000  0.0000
Nd  0.0000  0.5000  0.0000
Ho  0.5000  0.5000  0.5000
Nd  0.0000  0.0000  0.5000

Results
As for the symmetry: P4/mmm, No. 123. Its distance to the lowest polymorph of the same formula is 0.32 eV per formula unit.

***

# Li3Zr2NpSe6

An optimized crystal structure of Li3Zr2NpSe6 (PBE-GGA, Alexandria via LeMat-Bulk).

Cell lengths 6.7214, 6.7214, 6.9522 Å; angles 99.28, 99.28, 119.94 degrees
Element x y z (fractional)
Zr  0.6662  0.3338  0.0000
Li  0.8348  0.1652  0.5000
Np  0.0000  0.0000  0.0000
Zr  0.3338  0.6662  0.0000
Li  0.1652  0.8348  0.5000
Se  0.2606  0.2606  0.7447
Li  0.5000  0.5000  0.5000
Se  0.9156  0.5694  0.7464
Se  0.0844  0.4306  0.2536
Se  0.7394  0.7394  0.2553
Se  0.5694  0.9156  0.7464
Se  0.4306  0.0844  0.2536

Results
As for the symmetry: C2/m, No. 12. For the energy relative to the elements, uncorrected, the calculation gives -1.273 eV per atom.

***

no.,magnetization (μB per formula unit),calculated density (g cm⁻³)
1,3.9,3.646
2,0.0,2.822
3,4.4,1.531
4,1.1,6.531
5,1.9,10.226
6,0.0,6.880
7,0.0,6.083
8,4.9,5.891